Entry from the Alexandria database: a relaxed Li5FeO3F2 crystal (PBE with a Hubbard U).

Summary:
Electronic total energy = -5.204 eV per atom
M_tot = 4.995 μB/cell
Space-group type = Cm (8)
V = 109.8 Å³/cell

POSCAR file:
```
Li5FeO3F2
1.0
5.0335 -1.9387 0.0000
5.0335 1.9387 0.0000
-2.4752 0.0000 5.6247
Li Fe O F
5 1 3 2
Direct
0.0000 0.0000 0.0000
0.0005 0.0005 0.5133
0.3674 0.3674 0.7223
0.4021 0.4021 0.1673
0.7243 0.7243 0.3162
0.6860 0.6860 0.8756
0.1917 0.1917 0.7965
0.5509 0.5509 0.0299
0.8602 0.8602 0.1641
0.4984 0.4984 0.5243
0.8426 0.8426 0.6447
```